No. 1
The following is a DFT calculation (GGA-PBE) of crystalline FeSiBC at its relaxed geometry.

Values from the calculation:
The total energy is -28.92 eV per cell. The calculation puts the magnetization at 0.00 μB per formula unit.

Cell lengths 2.780, 3.938, 4.244 Å; angles 96.72, 108.91, 90.17 degrees
Space group P1 (No. 1)
Inequivalent atoms, fractional coordinates:
1 Fe 0.000 0.000 0.000 x1
2 Si 0.721 0.134 0.443 x1
3 B 0.435 0.635 0.870 x1
4 C 0.904 0.483 0.808 x1

No. 2
The following is a DFT calculation (GGA-PBE) of crystalline FeSiBC at its relaxed geometry.

Values from the calculation:
The total energy is -28.54 eV per cell. The calculation puts the magnetization at 0.67 μB per formula unit.

Cell lengths 2.757, 3.797, 4.164 Å; angles 111.68, 102.33, 104.40 degrees
Space group P1 (No. 1)
Inequivalent atoms, fractional coordinates:
1 Fe 0.000 0.000 0.000 x1
2 Si 0.838 0.554 0.315 x1
3 B 0.185 0.192 0.587 x1
4 C 0.816 0.385 0.780 x1

No. 3
The following is a DFT calculation (GGA-PBE) of crystalline FeSiBC at its relaxed geometry.

Values from the calculation:
The total energy is -57.31 eV per cell. The calculation puts the magnetization at 0.40 μB per formula unit.

Cell lengths 7.176, 2.993, 3.873 Å; angles 90.00, 115.51, 90.00 degrees
Space group Cm (No. 8)
Inequivalent atoms, fractional coordinates:
1 Fe 0.000 0.000 0.000 x2
2 Si 0.281 0.500 0.314 x2
3 B 0.104 0.000 0.572 x2
4 C 0.281 0.000 0.962 x2

No. 4
The following is a DFT calculation (GGA-PBE) of crystalline FeSiBC at its relaxed geometry.

Values from the calculation:
The total energy is -57.12 eV per cell. The calculation puts the magnetization at 0.07 μB per formula unit.

Cell lengths 6.818, 3.299, 4.082 Å; angles 90.00, 107.84, 90.00 degrees
Space group Cm (No. 8)
Inequivalent atoms, fractional coordinates:
1 Fe 0.000 0.000 0.000 x2
2 Si 0.146 0.500 0.702 x2
3 B 0.296 0.000 0.979 x2
4 C 0.022 0.500 0.230 x2

No. 5
The following is a DFT calculation (GGA-PBE) of crystalline FeSiBC at its relaxed geometry.

Values from the calculation:
The total energy is -57.31 eV per cell. The calculation puts the magnetization at 0.69 μB per formula unit.

Cell lengths 7.003, 2.898, 4.430 Å; angles 90.00, 128.52, 90.00 degrees
Space group Cm (No. 8)
Inequivalent atoms, fractional coordinates:
1 Fe 0.000 0.000 0.000 x2
2 Si 0.363 0.500 0.368 x2
3 B 0.118 0.500 0.790 x2
4 C 0.115 0.500 0.440 x2

No. 6
The following is a DFT calculation (GGA-PBE) of crystalline FeSiBC at its relaxed geometry.

Values from the calculation:
The total energy is -85.85 eV per cell. The calculation puts the magnetization at 1.51 μB per formula unit.

Cell lengths 3.3078, 3.3078, 13.1983 Å; angles 90.00, 90.00, 120.00 degrees
Space group R3m (No. 160, hexagonal axes)
Inequivalent atoms, fractional coordinates:
1 Fe 0.0000 0.0000 0.0000 x3
2 Si 0.0000 0.0000 0.8326 x3
3 B 0.0000 0.0000 0.5784 x3
4 C 0.0000 0.0000 0.6959 x3